Material: Pr3Al
Method: DFT, GGA-PBEsol
State: optimized geometry

Values from the calculation:
Volume (Å³/atom): 28.70
ΔE_f (eV per formula unit): -0.750
DOS(E_F) (states/eV per cell): 8.62

a b c (Å): 7.026 7.026 5.371
angles (deg): 90.00 90.00 120.00
Fractional positions:
Pr1 0.178 0.357 0.250
Pr2 0.178 0.822 0.250
Pr3 0.357 0.178 0.750
Pr4 0.643 0.822 0.250
Pr5 0.822 0.178 0.750
Pr6 0.822 0.643 0.750
Al1 0.333 0.667 0.750
Al2 0.667 0.333 0.250